Entry 1:
Density functional theory data (PBE-GGA) for a geometry-optimized Ti3TeAs structure.

The energy relative to the elements, uncorrected comes out at 732 meV/atom. For the relative energy among the computed polymorphs, the calculation gives 689.7 meV/atom. The calculation puts the calculated total energy at -5.56 eV per atom. The density of states at the Fermi level comes out at 1.031 states/eV per atom. The density is 4472 kg/m3. The calculation puts the magnetization at 5.41 μB per cell.

It has space group Pm-3m (No. 221), with a = 5.046 Å, b = 5.046 Å, c = 5.046 Å, α = 90.00°, β = 90.00° and γ = 90.00°. The distinct sites, in fractional coordinates, are Ti at (0.000, 0.000, 0.500), Te at (0.000, 0.000, 0.000) and As at (0.500, 0.500, 0.500).


Entry 2:
Density functional theory data (PBE-GGA) for a geometry-optimized K2H3Se structure.

The calculation puts the calculated total energy at -2.87 eV per atom. The density of states at the Fermi level comes out at 0.259 states/eV per atom. The density is 2324 kg/m3. The calculation puts the magnetization at 0.00 μB per cell.

It has space group C2/c (No. 15), with a = 10.872 Å, b = 7.829 Å, c = 7.013 Å, α = 90.00°, β = 129.93° and γ = 90.00°. The distinct sites, in fractional coordinates, are K at (0.250, 0.004, 0.245), H at (0.000, 0.250, 0.750), H at (0.001, 0.250, 0.902) and Se at (0.000, 0.250, 0.250).


Entry 3:
Density functional theory data (PBE-GGA) for a geometry-optimized FeRhSe structure.

The energy relative to the elements, uncorrected comes out at 115 meV/atom. For the relative energy among the computed polymorphs, the calculation gives 175.5 meV/atom. The calculation puts the calculated total energy at -6.32 eV per atom. The density of states at the Fermi level comes out at 0.913 states/eV per atom. The density is 9107 kg/m3. The calculation puts the magnetization at 2.55 μB per cell.

It has space group P-6m2 (No. 187), with a = 4.0659 Å, b = 4.0659 Å, c = 3.0274 Å, α = 90.00°, β = 90.00° and γ = 120.00°. The distinct sites, in fractional coordinates, are Fe at (0.0000, 0.0000, 0.0000), Rh at (0.3333, 0.6667, 0.5000) and Se at (0.6667, 0.3333, 0.0000).


- Which of these has the highest magnetization?
  Ti3TeAs


- Which formula does entry 1 have?
  Ti3TeAs


- The lowest calculated total energy belongs to which entry?
  FeRhSe